Here is a relaxed structure of SrMoO6 from Alexandria via LeMat-Bulk. Energies are from GGA+U.

final energy: -5.8022 eV per atom

Cell: 8.889 8.889 8.889 Å, 90.00 90.00 90.00°
Space group Fm-3m (No. 225)
Unique sites:
Sr: 0.000 0.000 0.000 (multiplicity 4)
Mo: 0.000 0.000 0.500 (multiplicity 4)
O: 0.000 0.000 0.284 (multiplicity 24)